Record 1
Material: RbAc2Tm
Method: DFT, PBE
State: optimized geometry

Output
DFT total energy = -38.4 eV/cell
Magnetization = 0.00 Bohr magnetons per cell
Energy of formation = 215 meV/atom

```
data_RbAc2Tm
_cell_length_a 3.9012
_cell_length_b 3.9012
_cell_length_c 42.0768
_cell_angle_alpha 90.00
_cell_angle_beta 90.00
_cell_angle_gamma 120.00
_symmetry_space_group_name_H-M 'R -3 m'
_symmetry_Int_Tables_number 166
_symmetry_space_group_name_Hall '-R 3 2"'
loop_
_atom_site_label
_atom_site_type_symbol
_atom_site_fract_x
_atom_site_fract_y
_atom_site_fract_z
_atom_site_occupancy
Rb1 Rb 0.0000 0.0000 0.0000 1
Ac1 Ac 0.0000 0.0000 0.0976 1
Tm1 Tm 0.0000 0.0000 0.5000 1
```

=====

Record 2
Material: HoHf2UN4
Method: DFT, PBE
State: optimized geometry

Output
DFT total energy = -164.3 eV/cell
Magnetization = 0.00 Bohr magnetons per cell
ΔE_f (raw) = -1.63 eV per atom

```
data_HoHf2UN4
_cell_length_a 4.708
_cell_length_b 4.708
_cell_length_c 9.326
_cell_angle_alpha 90.00
_cell_angle_beta 90.00
_cell_angle_gamma 90.00
_symmetry_space_group_name_H-M 'I -4 m 2'
_symmetry_Int_Tables_number 119
_symmetry_space_group_name_Hall 'I -4 -2'
loop_
_atom_site_label
_atom_site_type_symbol
_atom_site_fract_x
_atom_site_fract_y
_atom_site_fract_z
_atom_site_occupancy
Ho1 Ho 0.000 0.000 0.000 1
Hf1 Hf 0.000 0.000 0.500 1
Hf2 Hf 0.000 0.500 0.250 1
U1 U 0.000 0.500 0.750 1
N1 N 0.000 0.000 0.257 1
N2 N 0.000 0.500 0.502 1
```

=====

Record 3
Material: Li3WN
Method: DFT, PBE
State: optimized geometry

Output
DFT total energy = -15.4 eV/cell
ΔE to the lowest computed polymorph = 6.75 eV/f.u.
Magnetization = 4.00 Bohr magnetons per cell
ΔE_f (raw) = 2.32 eV per atom

```
data_Li3WN
_cell_length_a 5.329
_cell_length_b 5.329
_cell_length_c 5.329
_cell_angle_alpha 90.00
_cell_angle_beta 90.00
_cell_angle_gamma 90.00
_symmetry_space_group_name_H-M 'P m -3 m'
_symmetry_Int_Tables_number 221
_symmetry_space_group_name_Hall '-P 4 2 3'
loop_
_atom_site_label
_atom_site_type_symbol
_atom_site_fract_x
_atom_site_fract_y
_atom_site_fract_z
_atom_site_occupancy
Li1 Li 0.000 0.000 0.500 1
W1 W 0.000 0.000 0.000 1
N1 N 0.500 0.500 0.500 1
```

=====

Record 4
Material: Tb2PrY
Method: DFT, PBE
State: optimized geometry

Output
DFT total energy = -40.9 eV/cell
ΔE to the lowest computed polymorph = 0.05 eV/f.u.
Magnetization = 0.00 Bohr magnetons per cell
Energy of formation = 19 meV/atom

```
data_Tb2PrY
_cell_length_a 3.675
_cell_length_b 11.542
_cell_length_c 6.315
_cell_angle_alpha 90.00
_cell_angle_beta 90.00
_cell_angle_gamma 90.00
_symmetry_space_group_name_H-M 'I m m 2'
_symmetry_Int_Tables_number 44
loop_
_symmetry_equiv_pos_as_xyz
'x,y,z'
'-x,-y,z'
'-x,y,z'
'x,-y,z'
'x+1/2,y+1/2,z+1/2'
'-x+1/2,-y+1/2,z+1/2'
'-x+1/2,y+1/2,z+1/2'
'x+1/2,-y+1/2,z+1/2'
loop_
_atom_site_label
_atom_site_type_symbol
_atom_site_fract_x
_atom_site_fract_y
_atom_site_fract_z
_atom_site_occupancy
Tb1 Tb 0.000 0.248 0.000 1
Pr1 Pr 0.000 0.000 0.336 1
Y1 Y 0.000 0.500 0.333 1
```

=====

Record 5
Material: CdAgO
Method: DFT, PBE
State: optimized geometry

Output
DFT total energy = -20.6 eV/cell
ΔE to the lowest computed polymorph = 0.00 eV/f.u.
Magnetization = 0.00 Bohr magnetons per cell
ΔE_f (raw) = -0.52 eV per atom

```
data_CdAgO
_cell_length_a 3.296
_cell_length_b 3.296
_cell_length_c 8.833
_cell_angle_alpha 90.00
_cell_angle_beta 90.00
_cell_angle_gamma 90.00
_symmetry_space_group_name_H-M 'P 4/n m m'
_symmetry_Int_Tables_number 129
loop_
_symmetry_equiv_pos_as_xyz
'x,y,z'
'-x,-y,-z'
'-y+1/2,x,z'
'y+1/2,-x,-z'
'-x+1/2,-y+1/2,z'
'x+1/2,y+1/2,-z'
'y,-x+1/2,z'
'-y,x+1/2,-z'
'x+1/2,-y,-z'
'-x+1/2,y,z'
'-y,-x,-z'
'y,x,z'
'-x,y+1/2,-z'
'x,-y+1/2,z'
'y+1/2,x+1/2,-z'
'-y+1/2,-x+1/2,z'
loop_
_atom_site_label
_atom_site_type_symbol
_atom_site_fract_x
_atom_site_fract_y
_atom_site_fract_z
_atom_site_occupancy
Cd1 Cd 0.250 0.250 0.146 1
Ag1 Ag 0.250 0.250 0.592 1
O1 O 0.250 0.250 0.870 1
```

=====

Record 6
Material: ErSc4Ni5
Method: DFT, PBE
State: optimized geometry

Output
DFT total energy = -63.6 eV/cell
Magnetization = 0.00 Bohr magnetons per cell
Energy of formation = -480 meV/atom

```
data_ErSc4Ni5
_cell_length_a 3.173
_cell_length_b 3.173
_cell_length_c 16.317
_cell_angle_alpha 90.00
_cell_angle_beta 90.00
_cell_angle_gamma 90.00
_symmetry_space_group_name_H-M 'P 4/m m m'
_symmetry_Int_Tables_number 123
_symmetry_space_group_name_Hall '-P 4 2'
loop_
_atom_site_label
_atom_site_type_symbol
_atom_site_fract_x
_atom_site_fract_y
_atom_site_fract_z
_atom_site_occupancy
Er1 Er 0.000 0.000 0.000 1
Sc1 Sc 0.000 0.000 0.206 1
Sc2 Sc 0.000 0.000 0.402 1
Ni1 Ni 0.500 0.500 0.112 1
Ni2 Ni 0.500 0.500 0.304 1
Ni3 Ni 0.500 0.500 0.500 1
```

=====

Record 7
Material: LiBiB
Method: DFT, PBE
State: optimized geometry

Output
DFT total energy = -75.7 eV/cell
ΔE to the lowest computed polymorph = 0.00 eV/f.u.
Magnetization = 0.00 Bohr magnetons per cell
Energy of formation = -50 meV/atom

```
data_LiBiB
_cell_length_a 3.2329
_cell_length_b 3.2329
_cell_length_c 35.1182
_cell_angle_alpha 90.00
_cell_angle_beta 90.00
_cell_angle_gamma 120.00
_symmetry_space_group_name_H-M 'R -3 m'
_symmetry_Int_Tables_number 166
_symmetry_space_group_name_Hall '-R 3 2"'
loop_
_atom_site_label
_atom_site_type_symbol
_atom_site_fract_x
_atom_site_fract_y
_atom_site_fract_z
_atom_site_occupancy
Li1 Li 0.0000 0.0000 0.0405 1
Bi1 Bi 0.0000 0.0000 0.4531 1
B1 B 0.0000 0.0000 0.3334 1
```

=====

Record 8
Material: Ce7RuCl12
Method: DFT, PBE
State: optimized geometry

Output
DFT total energy = -327.8 eV/cell
Magnetization = 30.24 Bohr magnetons per cell
ΔE_f (raw) = -1.82 eV per atom

```
data_Ce7RuCl12
_cell_length_a 14.9247
_cell_length_b 14.9247
_cell_length_c 9.6338
_cell_angle_alpha 90.00
_cell_angle_beta 90.00
_cell_angle_gamma 120.00
_symmetry_space_group_name_H-M 'R -3'
_symmetry_Int_Tables_number 148
_symmetry_space_group_name_Hall '-R 3'
loop_
_atom_site_label
_atom_site_type_symbol
_atom_site_fract_x
_atom_site_fract_y
_atom_site_fract_z
_atom_site_occupancy
Ce1 Ce 0.0000 0.0000 0.0000 1
Ce2 Ce 0.0372 0.8714 0.3301 1
Ru1 Ru 0.0000 0.0000 0.5000 1
Cl1 Cl 0.0304 0.4507 0.1607 1
Cl2 Cl 0.0421 0.8619 0.8430 1
```

=====

Record 9
Material: CrHgAs2
Method: DFT, PBE
State: optimized geometry

Output
DFT total energy = -17.9 eV/cell
Magnetization = 3.30 Bohr magnetons per cell
Energy of formation = 327 meV/atom

```
data_CrHgAs2
_cell_length_a 2.940
_cell_length_b 2.940
_cell_length_c 9.191
_cell_angle_alpha 90.00
_cell_angle_beta 90.00
_cell_angle_gamma 90.00
_symmetry_space_group_name_H-M 'P 4 m m'
_symmetry_Int_Tables_number 99
loop_
_symmetry_equiv_pos_as_xyz
'x,y,z'
'-y,x,z'
'-x,-y,z'
'y,-x,z'
'-x,y,z'
'y,x,z'
'x,-y,z'
'-y,-x,z'
loop_
_atom_site_label
_atom_site_type_symbol
_atom_site_fract_x
_atom_site_fract_y
_atom_site_fract_z
_atom_site_occupancy
Cr1 Cr 0.000 0.000 0.000 1
Hg1 Hg 0.500 0.500 0.232 1
As1 As 0.000 0.000 0.497 1
As2 As 0.500 0.500 0.826 1
```

=====

Record 10
Material: CaPAu
Method: DFT, PBE
State: optimized geometry

Output
DFT total energy = -51.9 eV/cell
Magnetization = 0.00 Bohr magnetons per cell
Energy of formation = -761 meV/atom

```
data_CaPAu
_cell_length_a 10.689
_cell_length_b 4.466
_cell_length_c 5.815
_cell_angle_alpha 90.00
_cell_angle_beta 90.03
_cell_angle_gamma 90.00
_symmetry_space_group_name_H-M 'C 1 m 1'
_symmetry_Int_Tables_number 8
loop_
_symmetry_equiv_pos_as_xyz
'x,y,z'
'x,-y,z'
'x+1/2,y+1/2,z'
'x+1/2,-y+1/2,z'
loop_
_atom_site_label
_atom_site_type_symbol
_atom_site_fract_x
_atom_site_fract_y
_atom_site_fract_z
_atom_site_occupancy
Ca1 Ca 0.000 0.000 0.000 1
Ca2 Ca 0.225 0.500 0.500 1
P1 P 0.011 0.000 0.500 1
P2 P 0.214 0.500 0.000 1
Au1 Au 0.284 0.000 0.071 1
Au2 Au 0.442 0.000 0.570 1
```

=====

Record 11
Material: La4Pu2Te3N2
Method: DFT, PBE
State: optimized geometry

Output
DFT total energy = -173.8 eV/cell
Magnetization = 25.20 Bohr magnetons per cell
ΔE_f (raw) = -1.13 eV per atom

```
data_La4Pu2Te3N2
_cell_length_a 4.818
_cell_length_b 4.818
_cell_length_c 26.478
_cell_angle_alpha 90.00
_cell_angle_beta 90.00
_cell_angle_gamma 90.00
_symmetry_space_group_name_H-M 'I 4/m m m'
_symmetry_Int_Tables_number 139
_symmetry_space_group_name_Hall '-I 4 2'
loop_
_atom_site_label
_atom_site_type_symbol
_atom_site_fract_x
_atom_site_fract_y
_atom_site_fract_z
_atom_site_occupancy
La1 La 0.000 0.500 0.086 1
Pu1 Pu 0.000 0.000 0.195 1
Te1 Te 0.000 0.000 0.319 1
Te2 Te 0.000 0.000 0.500 1
N1 N 0.000 0.000 0.112 1
```

=====

Record 12
Material: PrTh2As2Rh7
Method: DFT, PBE
State: optimized geometry

Output
DFT total energy = -178.6 eV/cell
Magnetization = 0.00 Bohr magnetons per cell
Energy of formation = -743 meV/atom

```
data_PrTh2As2Rh7
_cell_length_a 5.903
_cell_length_b 5.804
_cell_length_c 13.359
_cell_angle_alpha 90.00
_cell_angle_beta 96.66
_cell_angle_gamma 90.00
_symmetry_space_group_name_H-M 'C 1 2/m 1'
_symmetry_Int_Tables_number 12
loop_
_symmetry_equiv_pos_as_xyz
'x,y,z'
'-x,-y,-z'
'-x,y,-z'
'x,-y,z'
'x+1/2,y+1/2,z'
'-x+1/2,-y+1/2,-z'
'-x+1/2,y+1/2,-z'
'x+1/2,-y+1/2,z'
loop_
_atom_site_label
_atom_site_type_symbol
_atom_site_fract_x
_atom_site_fract_y
_atom_site_fract_z
_atom_site_occupancy
Pr1 Pr 0.000 0.000 0.000 1
Th1 Th 0.083 0.000 0.351 1
As1 As 0.065 0.500 0.258 1
Rh1 Rh 0.000 0.500 0.000 1
Rh2 Rh 0.170 0.500 0.441 1
Rh3 Rh 0.209 0.249 0.835 1
```

=====

Record 13
Material: AlH2Br3
Method: DFT, PBE
State: optimized geometry

Output
DFT total energy = -64.9 eV/cell
Magnetization = 0.00 Bohr magnetons per cell

```
data_AlH2Br3
_cell_length_a 11.991
_cell_length_b 9.463
_cell_length_c 5.402
_cell_angle_alpha 90.00
_cell_angle_beta 90.00
_cell_angle_gamma 90.00
_symmetry_space_group_name_H-M 'C m c m'
_symmetry_Int_Tables_number 63
_symmetry_space_group_name_Hall '-C 2c 2'
loop_
_atom_site_label
_atom_site_type_symbol
_atom_site_fract_x
_atom_site_fract_y
_atom_site_fract_z
_atom_site_occupancy
Al1 Al 0.000 0.093 0.250 1
H1 H 0.031 0.447 0.250 1
Br1 Br 0.000 0.182 0.750 1
Br2 Br 0.227 0.000 0.000 1
```

=====

Record 14
Material: Ho8InSn5
Method: DFT, PBE
State: optimized geometry

Output
DFT total energy = -136.8 eV/cell
Magnetization = 0.00 Bohr magnetons per cell
Energy of formation = -643 meV/atom

```
data_Ho8InSn5
_cell_length_a 9.253
_cell_length_b 9.253
_cell_length_c 9.255
_cell_angle_alpha 90.00
_cell_angle_beta 90.00
_cell_angle_gamma 90.00
_symmetry_space_group_name_H-M 'I -4'
_symmetry_Int_Tables_number 82
loop_
_symmetry_equiv_pos_as_xyz
'x,y,z'
'y,-x,-z'
'-x,-y,z'
'-y,x,-z'
'x+1/2,y+1/2,z+1/2'
'y+1/2,-x+1/2,-z+1/2'
'-x+1/2,-y+1/2,z+1/2'
'-y+1/2,x+1/2,-z+1/2'
loop_
_atom_site_label
_atom_site_type_symbol
_atom_site_fract_x
_atom_site_fract_y
_atom_site_fract_z
_atom_site_occupancy
Ho1 Ho 0.070 0.177 0.198 1
Ho2 Ho 0.073 0.320 0.555 1
In1 In 0.000 0.500 0.250 1
Sn1 Sn 0.000 0.000 0.500 1
Sn2 Sn 0.126 0.250 0.876 1
```

=====

Record 15
Material: ScSBr2
Method: DFT, PBE
State: optimized geometry

Output
DFT total energy = -62.0 eV/cell
ΔE to the lowest computed polymorph = 2.61 eV/f.u.
Magnetization = 3.92 Bohr magnetons per cell
ΔE_f (raw) = -0.42 eV per atom

```
data_ScSBr2
_cell_length_a 6.987
_cell_length_b 6.987
_cell_length_c 6.987
_cell_angle_alpha 90.00
_cell_angle_beta 90.00
_cell_angle_gamma 90.00
_symmetry_space_group_name_H-M 'F m -3 m'
_symmetry_Int_Tables_number 225
_symmetry_space_group_name_Hall '-F 4 2 3'
loop_
_atom_site_label
_atom_site_type_symbol
_atom_site_fract_x
_atom_site_fract_y
_atom_site_fract_z
_atom_site_occupancy
Sc1 Sc 0.000 0.000 0.000 1
S1 S 0.000 0.000 0.500 1
Br1 Br 0.250 0.250 0.250 1
```

=====

Record 16
Material: TbPm12Pr7
Method: DFT, PBE
State: optimized geometry

Output
DFT total energy = -166.6 eV/cell
ΔE to the lowest computed polymorph = 7.51 eV/f.u.
Magnetization = 0.00 Bohr magnetons per cell
Energy of formation = 591 meV/atom

```
data_TbPm12Pr7
_cell_length_a 11.625
_cell_length_b 11.625
_cell_length_c 11.625
_cell_angle_alpha 90.00
_cell_angle_beta 90.00
_cell_angle_gamma 90.00
_symmetry_space_group_name_H-M 'I m -3 m'
_symmetry_Int_Tables_number 229
_symmetry_space_group_name_Hall '-I 4 2 3'
loop_
_atom_site_label
_atom_site_type_symbol
_atom_site_fract_x
_atom_site_fract_y
_atom_site_fract_z
_atom_site_occupancy
Tb1 Tb 0.000 0.000 0.000 1
Pm1 Pm 0.000 0.247 0.247 1
Pr1 Pr 0.000 0.000 0.500 1
Pr2 Pr 0.250 0.250 0.250 1
```

=====

Record 17
Material: GdGa2Tc
Method: DFT, PBE
State: optimized geometry

Output
DFT total energy = -31.7 eV/cell
ΔE to the lowest computed polymorph = 0.00 eV/f.u.
Magnetization = 7.27 Bohr magnetons per cell
Energy of formation = -307 meV/atom

```
data_GdGa2Tc
_cell_length_a 3.322
_cell_length_b 3.322
_cell_length_c 6.649
_cell_angle_alpha 90.00
_cell_angle_beta 90.00
_cell_angle_gamma 90.00
_symmetry_space_group_name_H-M 'P 4/m m m'
_symmetry_Int_Tables_number 123
_symmetry_space_group_name_Hall '-P 4 2'
loop_
_atom_site_label
_atom_site_type_symbol
_atom_site_fract_x
_atom_site_fract_y
_atom_site_fract_z
_atom_site_occupancy
Gd1 Gd 0.000 0.000 0.000 1
Ga1 Ga 0.500 0.500 0.305 1
Tc1 Tc 0.000 0.000 0.500 1
```

=====

Record 18
Material: HfTaTlRh2
Method: DFT, PBE
State: optimized geometry

Output
DFT total energy = -32.4 eV/cell
Magnetization = 0.00 Bohr magnetons per cell
Energy of formation = 1305 meV/atom

```
data_HfTaTlRh2
_cell_length_a 4.653
_cell_length_b 4.653
_cell_length_c 5.365
_cell_angle_alpha 90.00
_cell_angle_beta 90.00
_cell_angle_gamma 90.00
_symmetry_space_group_name_H-M 'P 4/m m m'
_symmetry_Int_Tables_number 123
_symmetry_space_group_name_Hall '-P 4 2'
loop_
_atom_site_label
_atom_site_type_symbol
_atom_site_fract_x
_atom_site_fract_y
_atom_site_fract_z
_atom_site_occupancy
Hf1 Hf 0.000 0.000 0.000 1
Ta1 Ta 0.500 0.500 0.500 1
Tl1 Tl 0.000 0.000 0.500 1
Rh1 Rh 0.000 0.500 0.000 1
```

=====

Record 19
Material: HfGaAg
Method: DFT, PBE
State: optimized geometry

Output
DFT total energy = -33.1 eV/cell
Magnetization = 0.00 Bohr magnetons per cell
Energy of formation = -236 meV/atom

```
data_HfGaAg
_cell_length_a 3.284
_cell_length_b 5.633
_cell_length_c 6.541
_cell_angle_alpha 95.41
_cell_angle_beta 104.50
_cell_angle_gamma 106.94
_symmetry_space_group_name_H-M 'P -1'
_symmetry_Int_Tables_number 2
loop_
_symmetry_equiv_pos_as_xyz
'x,y,z'
'-x,-y,-z'
loop_
_atom_site_label
_atom_site_type_symbol
_atom_site_fract_x
_atom_site_fract_y
_atom_site_fract_z
_atom_site_occupancy
Hf1 Hf 0.240 0.139 0.338 1
Ga1 Ga 0.039 0.402 0.672 1
Ag1 Ag 0.392 0.747 0.038 1
```

=====

Record 20
Material: Sr3YMn
Method: DFT, PBE
State: optimized geometry

Output
DFT total energy = -16.5 eV/cell
ΔE to the lowest computed polymorph = 0.00 eV/f.u.
Magnetization = 0.00 Bohr magnetons per cell
Energy of formation = 834 meV/atom

```
data_Sr3YMn
_cell_length_a 5.774
_cell_length_b 5.774
_cell_length_c 5.774
_cell_angle_alpha 90.00
_cell_angle_beta 90.00
_cell_angle_gamma 90.00
_symmetry_space_group_name_H-M 'P m -3 m'
_symmetry_Int_Tables_number 221
_symmetry_space_group_name_Hall '-P 4 2 3'
loop_
_atom_site_label
_atom_site_type_symbol
_atom_site_fract_x
_atom_site_fract_y
_atom_site_fract_z
_atom_site_occupancy
Sr1 Sr 0.000 0.000 0.500 1
Y1 Y 0.500 0.500 0.500 1
Mn1 Mn 0.000 0.000 0.000 1
```

=====

| no. | V (Å³ per cell) |
| --- | --- |
| 1 | 554.59 |
| 2 | 206.71 |
| 3 | 151.32 |
| 4 | 267.87 |
| 5 | 95.97 |
| 6 | 164.33 |
| 7 | 317.87 |
| 8 | 1858.41 |
| 9 | 79.42 |
| 10 | 277.61 |
| 11 | 614.75 |
| 12 | 454.59 |
| 13 | 613.00 |
| 14 | 792.41 |
| 15 | 341.16 |
| 16 | 1570.96 |
| 17 | 73.38 |
| 18 | 116.14 |
| 19 | 110.23 |
| 20 | 192.51 |